No. 1
SmAsAuO: optimized geometry, PBE.

Properties
Electronic total energy ... -5.615 eV/atom
ρ ... 7.86 g/cm³

Cell lengths 3.8856, 7.7250, 6.1702 Å; angles 90.00, 90.00, 90.00 degrees
Closest atoms and distances in Å follow each position.
Element x y z (fractional)
As1 0.0000 0.8444 0.4324  2 Au 2.48
As2 0.0000 0.1556 0.9324  2 Au 2.48
O1 0.5000 0.3547 0.4450  2 Sm 2.17, 1 Au 2.25
O2 0.5000 0.6453 0.9450  2 Sm 2.17, 1 Au 2.25
Au1 0.5000 0.6460 0.4457  1 O 2.25, 2 As 2.48
Au2 0.5000 0.3540 0.9457  1 O 2.25, 2 As 2.48
Sm1 0.0000 0.7685 0.9309  2 O 2.17
Sm2 0.0000 0.2315 0.4309  2 O 2.17

***

No. 2
SmAsAuO: optimized geometry, PBE.

Properties
Electronic total energy ... -5.835 eV/atom
ρ ... 9.11 g/cm³

Cell lengths 5.9437, 4.0936, 6.5633 Å; angles 90.00, 90.00, 90.00 degrees
Closest atoms and distances in Å follow each position.
Element x y z (fractional)
As1 0.0000 0.5060 0.7260  4 Au 2.60-2.64
As2 0.0000 0.4940 0.2260  4 Au 2.60-2.64
O1 0.5000 0.2066 0.9449  3 Sm 2.24-2.35
O2 0.5000 0.7934 0.4449  3 Sm 2.24-2.35
Au1 0.0000 0.0011 0.9764  4 As 2.60-2.64
Au2 0.0000 0.9989 0.4764  4 As 2.60-2.64
Sm1 0.5000 0.7177 0.1067  3 O 2.24-2.35
Sm2 0.5000 0.2823 0.6067  3 O 2.24-2.35

***

No. 3
TcAsAuO: optimized geometry, PBE.

Properties
Electronic total energy ... -6.152 eV/atom
ρ ... 8.94 g/cm³
Distance to the lowest polymorph of the same formula ... 0.0000 eV/atom

Cell lengths 3.0131, 6.5004, 7.3152 Å; angles 90.00, 90.00, 90.00 degrees
Closest atoms and distances in Å follow each position.
Element x y z (fractional)
As1 0.0000 0.6945 0.9174  2 Tc 2.47, 2 Au 2.50-2.52
As2 0.0000 0.3055 0.4174  2 Tc 2.47, 2 Au 2.50-2.52
Tc1 0.5000 0.0201 0.5032  2 O 1.87-1.88
Tc2 0.5000 0.9799 0.0032  2 O 1.87-1.88
O1 0.5000 0.9409 0.2578  2 Tc 1.87-1.88
O2 0.5000 0.0591 0.7578  2 Tc 1.87-1.88
Au1 0.0000 0.6464 0.5756  2 As 2.50-2.52
Au2 0.0000 0.3536 0.0756  2 As 2.50-2.52

***

No. 4
TcAsAuO: optimized geometry, PBE.

Properties
Electronic total energy ... -5.489 eV/atom
ρ ... 11.40 g/cm³
Distance to the lowest polymorph of the same formula ... 0.6624 eV/atom

Cell lengths 4.0891, 4.0891, 6.7242 Å; angles 90.00, 90.00, 90.00 degrees
Closest atoms and distances in Å follow each position.
Element x y z (fractional)
Tc1 0.7500 0.2500 0.5000  4 As 2.50
Tc2 0.2500 0.7500 0.5000  4 As 2.50
Au1 0.7500 0.7500 0.8106  4 O 2.41
Au2 0.2500 0.2500 0.1894  4 O 2.41
O1 0.2500 0.7500 0.0000  4 Au 2.41
O2 0.7500 0.2500 0.0000  4 Au 2.41
As1 0.2500 0.2500 0.7145  4 Tc 2.50
As2 0.7500 0.7500 0.2855  4 Tc 2.50

***

No. 5
TcAsAuO: optimized geometry, PBE.

Properties
Electronic total energy ... -6.120 eV/atom
ρ ... 9.56 g/cm³
Distance to the lowest polymorph of the same formula ... 0.0312 eV/atom

Cell lengths 3.7772, 6.8744, 5.1625 Å; angles 90.00, 90.00, 90.00 degrees
Closest atoms and distances in Å follow each position.
Element x y z (fractional)
Au1 0.5000 0.0378 0.4478  2 As 2.50, 2 Au 2.63, 1 O 2.75
Au2 0.5000 0.9622 0.9478  2 As 2.50, 2 Au 2.63, 1 O 2.75
O1 0.5000 0.6383 0.4356  2 Tc 1.89
O2 0.5000 0.3617 0.9356  2 Tc 1.89
As1 0.0000 0.7234 0.9349  3 Tc 2.47-2.65, 2 Au 2.50
As2 0.0000 0.2766 0.4349  3 Tc 2.47-2.65, 2 Au 2.50
Tc1 0.0000 0.6362 0.4357  2 O 1.89
Tc2 0.0000 0.3638 0.9357  2 O 1.89

***

No. 6
TcAsAuO: optimized geometry, PBE.

Properties
Electronic total energy ... -5.745 eV/atom
ρ ... 10.40 g/cm³
Distance to the lowest polymorph of the same formula ... 0.4071 eV/atom

Cell lengths 3.5983, 3.5983, 9.5172 Å; angles 90.00, 90.00, 90.00 degrees
Closest atoms and distances in Å follow each position.
Element x y z (fractional)
Au1 0.7500 0.2500 0.5000  4 Au 2.54
Au2 0.2500 0.7500 0.5000  4 Au 2.54
O1 0.2500 0.7500 0.0000  4 Tc 2.15
O2 0.7500 0.2500 0.0000  4 Tc 2.15
As1 0.7500 0.7500 0.2555  4 Tc 2.84, 4 Au 2.94, 4 O 3.02
As2 0.2500 0.2500 0.7445  4 Tc 2.84, 4 Au 2.94, 4 O 3.02
Tc1 0.7500 0.7500 0.8772  4 O 2.15
Tc2 0.2500 0.2500 0.1228  4 O 2.15